First-principles (PBE+U) data for a geometry-optimized Ho2Mn2O7 structure, as listed in the Alexandria database.

Values from the calculation:
As for the symmetry: Fd-3m, No. 227. The energy is -7.8018 eV per atom.

Cell: 7.0776 7.0776 7.0776 Å, 60.00 60.00 60.00°
Positions (direct):
Ho  0.0000  0.0000  0.0000
Ho  0.0000  0.0000  0.5000
Ho  0.0000  0.5000  0.0000
Ho  0.5000  0.0000  0.0000
Mn  0.0000  0.5000  0.5000
Mn  0.5000  0.0000  0.5000
Mn  0.5000  0.5000  0.0000
Mn  0.5000  0.5000  0.5000
O  0.1250  0.1250  0.1250
O  0.1689  0.1689  0.5811
O  0.1689  0.5811  0.1689
O  0.1689  0.5811  0.5811
O  0.4189  0.4189  0.8311
O  0.4189  0.8311  0.4189
O  0.4189  0.8311  0.8311
O  0.5811  0.1689  0.1689
O  0.5811  0.1689  0.5811
O  0.5811  0.5811  0.1689
O  0.8311  0.4189  0.4189
O  0.8311  0.4189  0.8311
O  0.8311  0.8311  0.4189
O  0.8750  0.8750  0.8750